Record 1
VASP calculation (PBE) on a geometry-optimized Al2AgBr structure.

Properties
Total magnetic moment, μB/cell: 0.00
Energy relative to the lowest polymorph listed for this composition, eV/atom: 0.267

Cell lengths 4.0114, 4.0114, 11.2696 Å; angles 90.00, 90.00, 90.00 degrees
Closest atoms and distances in Å follow each position.
Space group I-4m2 (No. 119)
Inequivalent atoms, fractional coordinates:
Al (0.0000, 0.0000, 0.0000) x2  4 Ag 2.84
Al (0.0000, 0.5000, 0.2500) x2  4 Br 2.84
Ag (0.0000, 0.0000, 0.5000) x2  4 Al 2.84
Br (0.0000, 0.5000, 0.7500) x2  4 Al 2.84

---

Record 2
VASP calculation (PBE) on a geometry-optimized Er4Tl2Cd structure.

Properties
Total magnetic moment, μB/cell: 0.00
Formation energy from the elements, meV per atom: -120
Energy relative to the lowest polymorph listed for this composition, eV/atom: 0.076

Cell lengths 7.2196, 6.6431, 8.9852 Å; angles 90.00, 111.27, 90.00 degrees
Closest atoms and distances in Å follow each position.
Space group P2_1/m (No. 11)
Inequivalent atoms, fractional coordinates:
Er (0.0743, 0.2500, 0.0467) x2  1 Cd 3.04, 1 Tl 3.31
Er (0.1634, 0.0065, 0.7253) x4  1 Cd 3.00, 4 Tl 3.11-3.34, 1 Er 3.24
Er (0.3096, 0.7500, 0.3441) x2  1 Cd 3.11, 2 Tl 3.11-3.27
Tl (0.2155, 0.2500, 0.4411) x2  1 Cd 2.87, 4 Er 3.11-3.16
Tl (0.4295, 0.7500, 0.0442) x2  6 Er 3.11-3.43, 1 Cd 3.18
Cd (0.4991, 0.2500, 0.2854) x2  2 Tl 2.87-3.18, 4 Er 3.00-3.11

---

Record 3
VASP calculation (PBE) on a geometry-optimized La2CuSi structure.

Properties
Total magnetic moment, μB/cell: 0.00
DFT total energy, eV/atom: -5.20

Cell lengths 5.2383, 5.2383, 3.6432 Å; angles 90.00, 90.00, 90.00 degrees
Closest atoms and distances in Å follow each position.
Space group P4/mmm (No. 123)
Inequivalent atoms, fractional coordinates:
La (0.0000, 0.5000, 0.0000) x2  4 Cu 3.19, 4 Si 3.19
Cu (0.0000, 0.0000, 0.5000) x1  8 La 3.19
Si (0.5000, 0.5000, 0.5000) x1  8 La 3.19

---

Record 4
VASP calculation (PBE) on a geometry-optimized Pt2PbW structure.

Properties
Total magnetic moment, μB/cell: 0.00
Formation energy from the elements, meV per atom: 193

Cell lengths 2.9915, 2.9915, 28.5511 Å; angles 90.00, 90.00, 120.00 degrees
Closest atoms and distances in Å follow each position.
Space group R-3m (No. 166, hexagonal axes)
Inequivalent atoms, fractional coordinates:
Pt (0.0000, 0.0000, 0.2411) x6  3 W 2.74, 6 Pt 2.99
Pb (0.0000, 0.0000, 0.0000) x3  6 Pb 2.99, 6 Pt 3.15
W (0.0000, 0.0000, 0.5000) x3  6 Pt 2.74, 6 W 2.99

---

Record 5
VASP calculation (PBE) on a geometry-optimized YPtSe2 structure.

Properties
Total magnetic moment, μB/cell: 0.00
DFT total energy, eV/atom: -5.66

Cell lengths 5.8318, 8.6324, 4.5994 Å; angles 90.00, 129.01, 90.00 degrees
Closest atoms and distances in Å follow each position.
Space group C2/m (No. 12)
Inequivalent atoms, fractional coordinates:
Y (0.0000, 0.0000, 0.0000) x2  4 Se 2.80, 2 Pt 2.92
Pt (0.0000, 0.5000, 0.0000) x2  4 Se 2.80, 2 Y 2.92
Se (0.2500, 0.2500, 0.5000) x4  2 Pt 2.80, 2 Y 2.80, 2 Se 2.92

---

Record 6
VASP calculation (PBE) on a geometry-optimized CsScAgBr6 structure.

Properties
Total magnetic moment, μB/cell: 0.83
DFT total energy, eV/atom: -3.46

Cell lengths 7.0303, 7.0362, 8.0128 Å; angles 92.44, 92.54, 114.99 degrees
Closest atoms and distances in Å follow each position.
Space group P1 (No. 1)
Inequivalent atoms, fractional coordinates:
Cs (0.0000, 0.0000, 0.0000) x1  6 Br 3.67-3.68
Sc (0.3452, 0.6552, 0.5005) x1  6 Br 2.58-2.74
Ag (0.6894, 0.3105, 0.5001) x1  4 Br 2.65-2.66
Br (0.0432, 0.3562, 0.6664) x1  1 Ag 2.66, 1 Sc 2.72
Br (0.0535, 0.6204, 0.2788) x1  1 Sc 2.58
Br (0.3812, 0.9459, 0.7229) x1  1 Sc 2.58
Br (0.4168, 0.3732, 0.2974) x1  1 Ag 2.65, 1 Sc 2.74
Br (0.6272, 0.5823, 0.7033) x1  1 Ag 2.65, 1 Sc 2.73
Br (0.6436, 0.9571, 0.3341) x1  1 Ag 2.66, 1 Sc 2.72

---

Record 7
VASP calculation (PBE) on a geometry-optimized TaV8Mo2 structure.

Properties
Total magnetic moment, μB/cell: 0.00
Formation energy from the elements, meV per atom: 185

Cell lengths 11.6023, 4.4786, 7.6760 Å; angles 90.00, 125.54, 90.00 degrees
Closest atoms and distances in Å follow each position.
Space group C2/m (No. 12)
Inequivalent atoms, fractional coordinates:
Ta (0.0000, 0.0000, 0.0000) x2  6 V 2.68-2.70
V (0.0532, 0.5000, 0.8654) x4  2 V 2.28-2.36
V (0.0548, 0.0000, 0.3936) x4  3 V 2.42-2.59, 2 Mo 2.69, 1 Ta 2.70
V (0.1886, 0.5000, 0.3419) x4  2 V 2.28-2.44, 1 Mo 2.53
V (0.2001, 0.0000, 0.8669) x4  3 V 2.36-2.58
Mo (0.1486, 0.5000, 0.6326) x4  6 V 2.53-2.71, 1 Mo 2.81

---

Record 8
VASP calculation (PBE) on a geometry-optimized Sm2Cd3Au4 structure.

Properties
Total magnetic moment, μB/cell: 0.00
Formation energy from the elements, meV per atom: -552

Cell lengths 4.8673, 4.8842, 9.7580 Å; angles 89.48, 89.94, 60.14 degrees
Closest atoms and distances in Å follow each position.
Space group P-1 (No. 2)
Inequivalent atoms, fractional coordinates:
Sm (0.1674, 0.1649, 0.2206) x2  7 Au 3.04-3.11
Cd (0.1652, 0.1704, 0.5788) x2  4 Au 2.89-3.22, 3 Cd 3.17-3.23
Cd (0.5000, 0.5000, 0.0000) x1  6 Au 2.95-2.96
Au (0.1663, 0.1675, 0.9085) x2  4 Cd 2.95-3.22, 4 Sm 3.04-3.09
Au (0.4979, 0.5053, 0.6458) x2  1 Au 2.85, 3 Cd 2.89-2.90, 3 Sm 3.10-3.11

---

Record 9
VASP calculation (PBE) on a geometry-optimized TlCd3Pd7 structure.

Properties
Total magnetic moment, μB/cell: 0.00
Formation energy from the elements, meV per atom: -92

Cell lengths 9.1989, 9.4839, 5.2894 Å; angles 90.00, 114.50, 90.00 degrees
Closest atoms and distances in Å follow each position.
Space group C2/m (No. 12)
Inequivalent atoms, fractional coordinates:
Tl (0.0000, 0.0000, 0.0000) x2  8 Pd 2.64-2.84
Cd (0.0000, 0.2861, 0.5000) x4  7 Pd 2.71-2.79
Cd (0.0000, 0.5000, 0.0000) x2  6 Pd 2.68-2.76
Pd (0.0000, 0.0000, 0.5000) x2  2 Tl 2.64, 2 Cd 2.71, 2 Pd 2.73
Pd (0.1742, 0.2552, 0.1787) x8  3 Cd 2.76-2.79, 4 Pd 2.78-2.97, 1 Tl 2.84
Pd (0.2115, 0.5000, 0.5335) x4  3 Cd 2.68-2.77, 5 Pd 2.73-2.91, 1 Tl 2.77

---

Record 10
VASP calculation (PBE) on a geometry-optimized Mo2Pd2Pt5 structure.

Properties
Total magnetic moment, μB/cell: 0.00
Formation energy from the elements, meV per atom: -108

Cell lengths 13.6514, 2.7266, 9.1029 Å; angles 90.00, 120.57, 90.00 degrees
Closest atoms and distances in Å follow each position.
Space group C2/m (No. 12)
Inequivalent atoms, fractional coordinates:
Mo (0.1390, 0.0000, 0.2939) x4  7 Pt 2.58-2.79, 2 Mo 2.73, 2 Pd 2.84
Pd (0.0595, 0.5000, 0.7630) x4  6 Pt 2.66-2.92, 2 Pd 2.73, 2 Mo 2.84
Pt (0.0000, 0.5000, 0.0000) x2  2 Pd 2.66, 4 Pt 2.73-2.76, 4 Mo 2.73
Pt (0.1416, 0.5000, 0.5501) x4  3 Mo 2.58-2.69, 2 Pd 2.69-2.77, 2 Pt 2.73
Pt (0.2312, 0.5000, 0.1252) x4  7 Pt 2.73-2.92, 2 Mo 2.79, 3 Pd 2.85-2.92

---

Record 11
VASP calculation (PBE) on a geometry-optimized LiSc2CuBr structure.

Properties
Total magnetic moment, μB/cell: 0.00
DFT total energy, eV/atom: -3.79

Cell lengths 5.0525, 5.0525, 4.6322 Å; angles 90.00, 90.00, 90.00 degrees
Closest atoms and distances in Å follow each position.
Space group P4/mmm (No. 123)
Inequivalent atoms, fractional coordinates:
Li (0.0000, 0.0000, 0.0000) x1  8 Sc 3.43, 4 Cu 3.57
Sc (0.0000, 0.5000, 0.5000) x2  2 Br 2.53
Cu (0.5000, 0.5000, 0.0000) x1  2 Br 2.32
Br (0.5000, 0.5000, 0.5000) x1  2 Cu 2.32, 4 Sc 2.53

---

Record 12
VASP calculation (PBE) on a geometry-optimized Ba2SrCaSe4 structure.

Properties
Total magnetic moment, μB/cell: 0.00
DFT total energy, eV/atom: -4.70

Cell lengths 7.8515, 4.5349, 7.8667 Å; angles 90.00, 109.42, 90.00 degrees
Closest atoms and distances in Å follow each position.
Space group P2/m (No. 10)
Inequivalent atoms, fractional coordinates:
Ba (0.0000, 0.0000, 0.0000) x1  6 Se 3.32-3.33
Ba (0.5000, 0.5000, 0.0000) x1  6 Se 3.27
Sr (0.0000, 0.5000, 0.5000) x1  6 Se 3.15
Ca (0.5000, 0.0000, 0.5000) x1  6 Se 3.09-3.10
Se (0.2495, 0.0000, 0.7313) x2  1 Ca 3.09, 2 Sr 3.15, 3 Ba 3.27-3.33
Se (0.2627, 0.5000, 0.2721) x2  2 Ca 3.10, 1 Sr 3.15, 3 Ba 3.27-3.32